VASP calculation (PBE with a Hubbard U) on a relaxed structure of Mg4CoO5.

a = 4.1947 Å, b = 5.2304 Å, c = 5.2304 Å
α = 80.75°, β = 66.36°, γ = 66.36°
Last column: magnetic moment on the atom in μB.
Sites, in units of the cell vectors:
1 Mg 0.3977 0.4046 0.8020  0.00
2 Mg 0.8023 0.8020 0.5954  0.00
3 Mg 0.1998 0.1980 0.4046  0.00
4 Mg 0.6043 0.5954 0.1980  0.00
5 Co 0.0012 0.0000 0.0000  2.67
6 O 0.8977 0.4081 0.7985  0.04
7 O 0.3058 0.7985 0.5919  0.04
8 O 0.6962 0.2015 0.4081  0.04
9 O 0.1043 0.5919 0.2015  0.04
10 O 0.5011 0.0000 0.0000  0.13

Values from the calculation:
Magnetic moment, μB/atom: 0.3000
DFT total energy, eV/atom: -5.935
Space-group type: No. 87